1.
A plane-wave DFT calculation with SCAN was carried out for a PBEsol-optimized structure of ZrGeIr.

The energy relative to the elements is -3.28 eV per formula unit.

Cell lengths 6.549, 4.021, 7.509 Å; angles 90.00, 90.00, 90.00 degrees
Space group Pnma (No. 62)
Asymmetric unit:
Zr 0.021 0.250 0.187 [4 per cell]
Ge 0.231 0.750 0.381 [4 per cell]
Ir 0.150 0.250 0.564 [4 per cell]



2.
A plane-wave DFT calculation with SCAN was carried out for a PBEsol-optimized structure of K3Ge17.

The energy relative to the elements is -1.93 eV per formula unit.

Cell lengths 15.614, 15.614, 15.614 Å; angles 90.00, 90.00, 90.00 degrees
Space group Fd-3m (No. 227, origin choice 2)
Asymmetric unit:
K 0.000 0.000 0.000 [16 per cell]
K 0.125 0.125 0.625 [8 per cell]
Ge 0.031 0.031 0.219 [32 per cell]
Ge 0.067 0.067 0.372 [96 per cell]
Ge 0.125 0.125 0.125 [8 per cell]



3.
A plane-wave DFT calculation with SCAN was carried out for a PBEsol-optimized structure of K2LaGe2.

The energy relative to the elements is 1.56 eV per formula unit.

Cell lengths 5.519, 5.519, 10.055 Å; angles 90.00, 90.00, 90.00 degrees
Space group I4/mmm (No. 139)
Asymmetric unit:
K 0.000 0.000 0.135 [4 per cell]
La 0.000 0.000 0.500 [2 per cell]
Ge 0.000 0.500 0.250 [4 per cell]



4.
A plane-wave DFT calculation with SCAN was carried out for a PBEsol-optimized structure of KLaGeS4.

For the total energy, the calculation gives -17.081 eV per atom.

Cell lengths 6.620, 6.662, 8.678 Å; angles 90.00, 107.41, 90.00 degrees
Space group P2_1 (No. 4)
Asymmetric unit:
K 0.233 0.000 0.435 [2 per cell]
La 0.268 0.016 0.946 [2 per cell]
Ge 0.282 0.487 0.184 [2 per cell]
S 0.084 0.484 0.345 [2 per cell]
S 0.087 0.440 0.928 [2 per cell]
S 0.478 0.744 0.770 [2 per cell]
S 0.483 0.758 0.216 [2 per cell]



5.
A plane-wave DFT calculation with SCAN was carried out for a PBEsol-optimized structure of KLaGeSe4.

For the total energy, the calculation gives -22.909 eV per atom.

Cell lengths 6.842, 6.988, 9.011 Å; angles 90.00, 108.03, 90.00 degrees
Space group P2_1 (No. 4)
Asymmetric unit:
K 0.248 0.000 0.438 [2 per cell]
La 0.268 0.006 0.946 [2 per cell]
Ge 0.284 0.475 0.182 [2 per cell]
Se 0.080 0.421 0.921 [2 per cell]
Se 0.086 0.471 0.351 [2 per cell]
Se 0.465 0.729 0.767 [2 per cell]
Se 0.491 0.752 0.219 [2 per cell]



6.
A plane-wave DFT calculation with SCAN was carried out for a PBEsol-optimized structure of KMg2Ge2.

The energy relative to the elements is -1.19 eV per formula unit.

Cell lengths 4.628, 4.628, 11.132 Å; angles 90.00, 90.00, 90.00 degrees
Space group I4/mmm (No. 139)
Asymmetric unit:
K 0.000 0.000 0.000 [2 per cell]
Mg 0.000 0.500 0.250 [4 per cell]
Ge 0.000 0.000 0.389 [4 per cell]



7.
A plane-wave DFT calculation with SCAN was carried out for a PBEsol-optimized structure of K2MgGeO4.

For the total energy, the calculation gives -10.423 eV per atom.

Cell lengths 11.163, 5.571, 15.847 Å; angles 90.00, 90.00, 90.00 degrees
Space group Pca2_1 (No. 29)
Asymmetric unit:
K 0.012 0.009 0.121 [4 per cell]
K 0.013 0.509 0.500 [4 per cell]
K 0.232 0.547 0.875 [4 per cell]
K 0.236 0.041 0.742 [4 per cell]
Mg 0.011 0.515 0.249 [4 per cell]
Mg 0.237 0.030 0.996 [4 per cell]
Ge 0.009 0.016 0.371 [4 per cell]
Ge 0.235 0.525 0.625 [4 per cell]
O 0.015 0.292 0.851 [4 per cell]
O 0.026 0.819 0.778 [4 per cell]
O 0.086 0.896 0.955 [4 per cell]
O 0.099 0.390 0.659 [4 per cell]
O 0.159 0.082 0.398 [4 per cell]
O 0.175 0.581 0.215 [4 per cell]
O 0.194 0.326 0.054 [4 per cell]
O 0.198 0.798 0.575 [4 per cell]



8.
A plane-wave DFT calculation with SCAN was carried out for a PBEsol-optimized structure of KMg2GeOs.

The energy relative to the elements is 2.97 eV per formula unit.

Cell lengths 5.143, 5.143, 4.667 Å; angles 90.00, 90.00, 90.00 degrees
Space group P4/mmm (No. 123)
Asymmetric unit:
K 0.000 0.000 0.000 [1 per cell]
Mg 0.000 0.500 0.500 [2 per cell]
Ge 0.500 0.500 0.500 [1 per cell]
Os 0.500 0.500 0.000 [1 per cell]



Asked for magnetization across the records above, the calculation gives 0.00; 0.00; 0.00; 0.00; 0.00; 0.00; 0.00; 0.00 μB/cell in order.